(1)
LuPaCu2 (GGA-PBE, optimized geometry); energy relative to the lowest polymorph listed for this composition = 0 meV per atom; space-group type = P4/mmm, No. 123; DFT formation energy = -0.05 eV/atom
1.0
-0.2689 -2.3246 2.2525
2.9886 -1.0464 -0.7232
2.8331 4.5866 5.0717
Pa Lu Cu
1 1 2
Direct
0.5000 0.5000 0.0000 Pa
0.5000 0.5000 0.5000 Lu
0.0000 0.0000 0.7377 Cu
0.0000 0.0000 0.2623 Cu

---

(2)
Ac2GaSnN (GGA-PBE, optimized geometry); space-group type = P2_1/m, No. 11; raw formation energy = -0.776 eV/atom
1.0
-2.4388 2.1702 2.8060
-5.5668 -3.9153 -1.8103
4.7415 -4.0061 7.2195
Ac Ga Sn N
4 2 2 2
Direct
0.7500 0.7782 0.6053 Ac
0.7500 0.7891 0.0236 Ac
0.2500 0.2218 0.3947 Ac
0.2500 0.2109 0.9764 Ac
0.2500 0.5485 0.7284 Ga
0.7500 0.4515 0.2716 Ga
0.2500 0.6976 0.2870 Sn
0.7500 0.3024 0.7130 Sn
0.2500 0.8366 0.8637 N
0.7500 0.1634 0.1363 N

---

(3)
CaEr2ThSb4 (GGA-PBE, optimized geometry); space-group type = Fmm2, No. 42; raw formation energy = -1.027 eV/atom
1.0
-2.4827 5.6999 -0.8916
-2.9502 -0.4185 5.5289
7.6838 -0.0315 0.5294
Ca Er Th Sb
1 2 1 4
Direct
0.4376 0.4376 0.0000 Ca
0.1872 0.6872 0.5000 Er
0.6872 0.1872 0.5000 Er
0.9367 0.9367 0.0000 Th
0.9376 0.4369 0.0000 Sb
0.4369 0.9376 0.0000 Sb
0.1863 0.1864 0.4985 Sb
0.6878 0.6878 0.5015 Sb

---

(4)
YLuTlPd (GGA-PBE, optimized geometry); space-group type = F-43m, No. 216; DFT formation energy = -0.56 eV/atom
1.0
5.1304 0.0000 0.0000
2.5652 4.4430 0.0000
2.5652 1.4810 4.1889
Y Tl Lu Pd
1 1 1 1
Direct
0.7500 0.7500 0.7500 Y
0.0000 0.0000 0.0000 Tl
0.2500 0.2500 0.2500 Lu
0.5000 0.5000 0.5000 Pd

---

(5)
NdDy4Y7 (GGA-PBE, optimized geometry); energy relative to the lowest polymorph listed for this composition = 0 meV per atom; space-group type = P-1, No. 2; DFT formation energy = 0.08 eV/atom
1.0
-5.2709 -2.9917 3.1571
2.1899 -6.1593 -0.2076
-0.8558 -3.9219 11.0589
Nd Dy Y
1 4 7
Direct
0.0000 0.0000 0.0000 Nd
0.5262 0.6398 0.2858 Dy
0.4738 0.3602 0.7142 Dy
0.6942 0.8379 0.6898 Dy
0.3058 0.1621 0.3102 Dy
0.7985 0.5161 0.9500 Y
0.2015 0.4839 0.0500 Y
0.0544 0.3192 0.6388 Y
0.9456 0.6808 0.3612 Y
0.2801 0.8108 0.6124 Y
0.5000 0.0000 0.0000 Y
0.7199 0.1892 0.3876 Y

---

(6)
Pr2OsN (GGA-PBE, optimized geometry); space-group type = R-3m, No. 166; raw formation energy = 0.198 eV/atom
1.0
-3.2148 -0.2123 1.2708
-2.6596 -0.6581 -2.1186
-0.9270 -8.4609 0.9609
Pr Os N
2 1 1
Direct
0.1072 0.1072 0.6783 Pr
0.8928 0.8928 0.3217 Pr
0.0000 0.0000 0.0000 Os
0.5000 0.5000 0.5000 N

---

(7)
Na2NbPbO4 (GGA-PBE, optimized geometry); space-group type = I-4, No. 82; raw formation energy = -1.758 eV/atom
1.0
-3.8556 -4.1793 -0.3209
5.2357 -2.2406 0.0465
-0.8209 2.9834 4.7813
Na Nb Pb O
2 1 1 4
Direct
0.5000 0.7500 0.2500 Na
0.0000 0.0000 0.0000 Na
0.0000 0.5000 0.5000 Nb
0.5000 0.2500 0.7500 Pb
0.6814 0.5265 0.5108 O
0.9843 0.1549 0.4735 O
0.0157 0.4892 0.1706 O
0.3186 0.8294 0.8451 O

---

(8)
CaYAlO4 (GGA-PBE, optimized geometry); space-group type = I4mm, No. 107; raw formation energy = -3.185 eV/atom
1.0
6.5002 0.0107 0.0000
4.4149 4.7709 0.0000
-5.4576 -2.3908 2.5985
Ca Y Al O
1 1 1 4
Direct
0.6444 0.6444 0.0000 Ca
0.3583 0.3583 0.0000 Y
0.0056 0.0056 0.0000 Al
0.8326 0.8326 0.0000 O
0.1701 0.1701 0.0000 O
0.9946 0.4946 0.5000 O
0.4946 0.9946 0.5000 O

---

| no. | total magnetization (μB per formula unit) | uncorrected energy (eV per atom) |
| --- | --- | --- |
| 1 | 0.0 | -5.6035 |
| 2 | 0.0 | -5.4904 |
| 3 | 0.0 | -5.4063 |
| 4 | 0.0 | -5.1964 |
| 5 | 0.0 | -5.6171 |
| 6 | 0.0 | -7.0809 |
| 7 | 1.0 | -6.2894 |
| 8 | 0.0 | -7.7628 |